1.
Fe2SnRhN PBE-GGA optimized geometry; E_tot = -36.76 eV for the cell shown; DOS(E_F) = 0.603 states/eV/atom; formation energy from raw total energies = -0.16 eV per formula unit
1.0
3.8556 0.0000 0.0000
0.0000 3.8556 0.0000
0.0000 0.0000 4.3326
Fe Sn Rh N
2 1 1 1
Direct
0.0000 0.5000 0.0000
0.5000 0.0000 0.0000
0.0000 0.0000 0.5000
0.5000 0.5000 0.5000
0.5000 0.5000 0.0000

2.
K2Na6TlH PBE-GGA optimized geometry; E_tot = -15.90 eV for the cell shown; DOS(E_F) = 0.383 states/eV/atom
1.0
7.2516 0.0000 0.0000
-3.6161 6.2887 0.0000
-0.0467 -4.1564 7.8292
K Na Tl H
2 6 1 1
Direct
0.2042 0.4078 0.1110
0.7958 0.5922 0.8890
0.2261 0.4574 0.6679
0.2262 0.9458 0.6728
0.2894 0.0591 0.3332
0.7106 0.9409 0.6668
0.7738 0.0542 0.3272
0.7739 0.5426 0.3321
0.5000 0.0000 0.0000
0.0000 0.0000 0.5000

3.
MgGaPt2 PBE-GGA optimized geometry; E_tot = -36.35 eV for the cell shown; DOS(E_F) = 0.396 states/eV/atom
1.0
-2.0216 2.0216 8.6285
2.0216 -2.0216 8.6285
2.0216 2.0216 -8.6285
Mg Ga Pt
2 2 4
Direct
0.0000 0.0000 0.0000
0.7500 0.2500 0.5000
0.2500 0.7500 0.5000
0.5000 0.5000 0.0000
0.1303 0.6250 0.0053
0.3750 0.3803 0.5053
0.6197 0.1250 0.9947
0.8750 0.8697 0.4947

4.
CeHoPuIr PBE-GGA optimized geometry; E_tot = -34.36 eV for the cell shown; DOS(E_F) = 2.951 states/eV/atom
1.0
0.0000 3.5730 3.5730
3.5730 0.0000 3.5730
3.5730 3.5730 0.0000
Ce Ho Pu Ir
1 1 1 1
Direct
0.0000 0.0000 0.0000
0.5000 0.5000 0.5000
0.2500 0.2500 0.2500
0.7500 0.7500 0.7500

5.
Hf3AlZn2 PBE-GGA optimized geometry; polymorph energy (0 for the lowest one) = 26 meV per atom; E_tot = -37.36 eV for the cell shown; DOS(E_F) = 0.572 states/eV/atom
1.0
2.3771 -7.1163 0.0000
2.3771 7.1163 0.0000
0.0000 0.0000 3.2513
Hf Al Zn
3 1 2
Direct
0.0000 0.0000 0.0000
0.3315 0.6685 0.0000
0.6685 0.3315 0.0000
0.5000 0.5000 0.5000
0.1673 0.8327 0.5000
0.8327 0.1673 0.5000

6.
LaFe2Pt PBE-GGA optimized geometry; E_tot = -27.72 eV for the cell shown; DOS(E_F) = 1.530 states/eV/atom
1.0
4.1144 0.0000 0.0000
0.0000 4.1144 0.0000
0.0000 0.0000 4.1641
La Fe Pt
1 2 1
Direct
0.0000 0.0000 0.0000
0.0000 0.5000 0.5000
0.5000 0.0000 0.5000
0.5000 0.5000 0.0000

7.
SnSb2CI PBE-GGA optimized geometry; polymorph energy (0 for the lowest one) = 975 meV per atom; E_tot = -13.28 eV for the cell shown; DOS(E_F) = 1.397 states/eV/atom; formation energy from raw total energies = 9.74 eV per formula unit
1.0
5.7858 0.0000 0.0000
0.0000 5.7858 0.0000
0.0000 0.0000 5.9335
Sn Sb C I
1 2 1 1
Direct
0.0000 0.0000 0.0000
0.0000 0.5000 0.0000
0.5000 0.0000 0.0000
0.5000 0.5000 0.5000
0.0000 0.0000 0.5000

8.
Li2GaF PBE-GGA optimized geometry; polymorph energy (0 for the lowest one) = 812 meV per atom; E_tot = -11.46 eV for the cell shown; DOS(E_F) = 0.468 states/eV/atom; formation energy from raw total energies = -2.74 eV per formula unit
1.0
0.0000 3.1686 3.1686
3.1686 0.0000 3.1686
3.1686 3.1686 0.0000
Li Ga F
2 1 1
Direct
0.2500 0.2500 0.2500
0.7500 0.7500 0.7500
0.0000 0.0000 0.0000
0.5000 0.5000 0.5000